1.
The following is a PBE calculation of crystalline LaTbSn2Pd4 at its relaxed geometry, from OQMD via LeMat-Bulk.

Values from the calculation:
Calculated volume, A^3/atom: 21.33
Calculated total energy, eV/atom: -5.65

Lattice parameters (Å, degrees): 4.6325 4.6325 9.1823 90.00 90.00 120.00
Positions (direct):
1 La 0.0000 0.0000 0.0000
2 Tb 0.6667 0.3333 0.5000
3 Sn 0.3333 0.6667 0.2620
4 Sn 0.3333 0.6667 0.7380
5 Pd 0.0000 0.0000 0.3392
6 Pd 0.0000 0.0000 0.6608
7 Pd 0.6667 0.3333 0.1754
8 Pd 0.6667 0.3333 0.8246

***

2.
The following is a PBE calculation of crystalline MgCoTcSb at its relaxed geometry, from OQMD via LeMat-Bulk.

Values from the calculation:
Calculated volume, A^3/atom: 15.19
Energy above the lowest structure with this stoichiometry, meV/atom: 0

Lattice parameters (Å, degrees): 4.4128 4.4128 4.4128 60.00 60.00 60.00
Positions (direct):
1 Mg 0.0000 0.0000 0.0000
2 Co 0.7500 0.7500 0.7500
3 Tc 0.2500 0.2500 0.2500
4 Sb 0.5000 0.5000 0.5000

***

3.
The following is a PBE calculation of crystalline NdGeB4 at its relaxed geometry, from OQMD via LeMat-Bulk.

Values from the calculation:
Calculated volume, A^3/atom: 11.96
Energy above the lowest structure with this stoichiometry, meV/atom: 0

Lattice parameters (Å, degrees): 5.2721 5.2721 5.2721 144.57 120.83 70.90
Positions (direct):
1 Nd 0.0000 0.0000 0.0000
2 Ge 0.5000 0.5000 0.0000
3 B 0.0651 0.7404 0.3247
4 B 0.4158 0.7404 0.6753
5 B 0.5842 0.2596 0.3247
6 B 0.9349 0.2596 0.6753

***

4.
The following is a PBE calculation of crystalline PrHoIr at its relaxed geometry, from OQMD via LeMat-Bulk.

Values from the calculation:
Calculated volume, A^3/atom: 25.44
Energy of formation, eV per atom: 0.14
Energy above the lowest structure with this stoichiometry, meV/atom: 749

Lattice parameters (Å, degrees): 4.7611 4.7611 4.7611 60.00 60.00 60.00
Positions (direct):
1 Pr 0.0000 0.0000 0.0000
2 Ho 0.2500 0.2500 0.2500
3 Ir 0.5000 0.5000 0.5000

***

5.
The following is a PBE calculation of crystalline TaBeNO at its relaxed geometry, from OQMD via LeMat-Bulk.

Values from the calculation:
Calculated volume, A^3/atom: 9.86
Energy above the lowest structure with this stoichiometry, meV/atom: 481

Lattice parameters (Å, degrees): 5.2118 6.9061 4.3838 90.00 90.00 90.00
Positions (direct):
1 Ta 0.0276 0.1327 0.0000
2 Ta 0.4724 0.1327 0.5000
3 Ta 0.5276 0.8673 0.0000
4 Ta 0.9724 0.8673 0.5000
5 Be 0.1016 0.5769 0.9085
6 Be 0.3984 0.5769 0.4085
7 Be 0.6016 0.4231 0.9085
8 Be 0.8984 0.4231 0.4085
9 N 0.0918 0.6028 0.5282
10 N 0.4082 0.6028 0.0282
11 N 0.5918 0.3972 0.5282
12 N 0.9082 0.3972 0.0282
13 O 0.0814 0.1959 0.5083
14 O 0.4186 0.1959 0.0083
15 O 0.5814 0.8041 0.5083
16 O 0.9186 0.8041 0.0083

***

6.
The following is a PBE calculation of crystalline AcScW at its relaxed geometry, from OQMD via LeMat-Bulk.

Values from the calculation:
Calculated volume, A^3/atom: 27.24
Energy of formation, eV per atom: 1.33

Lattice parameters (Å, degrees): 4.8708 4.8708 4.8708 60.00 60.00 60.00
Positions (direct):
1 Ac 0.0000 0.0000 0.0000
2 Sc 0.2500 0.2500 0.2500
3 W 0.5000 0.5000 0.5000

***

7.
The following is a PBE calculation of crystalline Zr2N2O at its relaxed geometry, from OQMD via LeMat-Bulk.

Values from the calculation:
Calculated volume, A^3/atom: 17.81
Calculated total energy, eV/atom: -9.79

Lattice parameters (Å, degrees): 4.0070 4.0070 6.0425 106.29 106.29 90.11
Positions (direct):
1 Zr 0.0000 0.0000 0.0000
2 Zr 0.6305 0.6305 0.2921
3 N 0.0660 0.5651 0.1461
4 N 0.5651 0.0660 0.1461
5 O 0.8124 0.8124 0.6463

***

8.
The following is a PBE calculation of crystalline CdTcGe at its relaxed geometry, from OQMD via LeMat-Bulk.

Values from the calculation:
Calculated volume, A^3/atom: 18.59
Energy above the lowest structure with this stoichiometry, meV/atom: 0

Lattice parameters (Å, degrees): 4.2884 4.2884 4.2884 60.00 60.00 60.00
Positions (direct):
1 Cd 0.0000 0.0000 0.0000
2 Tc 0.5000 0.5000 0.5000
3 Ge 0.2500 0.2500 0.2500

***

9.
The following is a PBE calculation of crystalline YGaIr at its relaxed geometry, from OQMD via LeMat-Bulk.

Values from the calculation:
Calculated volume, A^3/atom: 23.38
Calculated total energy, eV/atom: -6.01

Lattice parameters (Å, degrees): 4.6292 4.6292 4.6292 60.00 60.00 60.00
Positions (direct):
1 Y 0.0000 0.0000 0.0000
2 Ga 0.7500 0.7500 0.7500
3 Ir 0.2500 0.2500 0.2500

***

10.
The following is a PBE calculation of crystalline CdIn2As at its relaxed geometry, from OQMD via LeMat-Bulk.

Values from the calculation:
Calculated volume, A^3/atom: 26.28
Energy above the lowest structure with this stoichiometry, meV/atom: 0

Lattice parameters (Å, degrees): 6.3681 4.1556 7.9457 90.00 90.00 90.00
Positions (direct):
1 Cd 0.2500 0.0000 0.2056
2 Cd 0.7500 0.0000 0.7944
3 In 0.0000 0.5000 0.0000
4 In 0.2500 0.5000 0.6607
5 In 0.5000 0.5000 0.0000
6 In 0.7500 0.5000 0.3393
7 As 0.0000 0.0000 0.5000
8 As 0.5000 0.0000 0.5000

***

11.
The following is a PBE calculation of crystalline Zr2ScIn at its relaxed geometry, from OQMD via LeMat-Bulk.

Values from the calculation:
Calculated volume, A^3/atom: 22.61
Calculated total energy, eV/atom: -6.76

Lattice parameters (Å, degrees): 6.3644 6.3644 5.2075 90.00 90.00 120.96
Positions (direct):
1 Zr 0.1658 0.3268 0.2500
2 Zr 0.3268 0.1658 0.7500
3 Zr 0.6732 0.8342 0.2500
4 Zr 0.8342 0.6732 0.7500
5 Sc 0.3296 0.6704 0.7500
6 Sc 0.6704 0.3296 0.2500
7 In 0.1697 0.8303 0.2500
8 In 0.8303 0.1697 0.7500

***

12.
The following is a PBE calculation of crystalline DyYNi2C2N2 at its relaxed geometry, from OQMD via LeMat-Bulk.

Values from the calculation:
Calculated volume, A^3/atom: 10.96
Calculated total energy, eV/atom: -7.80

Lattice parameters (Å, degrees): 3.4597 3.4597 7.3283 90.00 90.00 90.00
Positions (direct):
1 Dy 0.0000 0.0000 0.0000
2 Y 0.5000 0.5000 0.3458
3 Ni 0.0000 0.5000 0.6734
4 Ni 0.5000 0.0000 0.6734
5 C 0.0000 0.0000 0.5123
6 C 0.5000 0.5000 0.8339
7 N 0.0000 0.0000 0.3208
8 N 0.5000 0.5000 0.0254